No. 1
Sn2BiSb PBE relaxed; distance to the lowest polymorph of the same formula = 0.30 eV per formula unit; Fermi-level density of states = 0.37 states/eV/f.u.; calculated volume = 42.48 Å³ per atom; E = -15.5 eV for the cell shown; energy relative to the elements, uncorrected = 2.71 kcal/mol of atoms
1.0
2.259 1.304 9.608
-2.259 1.304 9.608
0.000 -2.609 9.608
Sn Bi Sb
2 1 1
direct
0.000 0.000 0.000
0.480 0.480 0.480
0.618 0.618 0.618
0.099 0.099 0.099

No. 2
AcF3 PBE relaxed; distance to the lowest polymorph of the same formula = 0.54 eV per formula unit; Fermi-level density of states = 0.00 states/eV/f.u.; calculated volume = 13.75 Å³ per atom; E = -26.1 eV for the cell shown; energy relative to the elements, uncorrected = -94.58 kcal/mol of atoms
1.0
-2.014 2.014 3.392
2.014 -2.014 3.392
2.014 2.014 -3.392
Ac F
1 3
direct
0.000 0.000 0.000
0.250 0.750 0.500
0.500 0.500 0.000
0.750 0.250 0.500

No. 3
Cs2TaTiO6 PBE relaxed; Fermi-level density of states = 4.97 states/eV/f.u.; calculated volume = 15.79 Å³ per atom; E = -148.1 eV for the cell shown; energy relative to the elements, uncorrected = -52.68 kcal/mol of atoms
1.0
3.065 1.770 9.702
-3.065 1.770 9.702
0.000 -3.540 9.702
Cs Ta Ti O
4 2 2 12
direct
0.132 0.132 0.132
0.281 0.281 0.281
0.719 0.719 0.719
0.868 0.868 0.868
0.401 0.401 0.401
0.599 0.599 0.599
0.000 0.000 0.000
0.500 0.500 0.500
0.184 0.589 0.589
0.204 0.204 0.706
0.204 0.706 0.204
0.294 0.796 0.796
0.411 0.411 0.816
0.411 0.816 0.411
0.589 0.184 0.589
0.589 0.589 0.184
0.706 0.204 0.204
0.796 0.294 0.796
0.796 0.796 0.294
0.816 0.411 0.411

No. 4
Tb5Pm2Sm3 PBE relaxed; ΔH_f (0 K) = 0.188 eV per atom; distance to the lowest polymorph of the same formula = 0.00 eV per formula unit; Fermi-level density of states = 18.47 states/eV/f.u.; calculated volume = 33.64 Å³ per atom; E = -89.9 eV for the cell shown
1.0
5.351 -8.116 0.000
5.351 8.116 0.000
-5.345 0.000 7.747
Tb Pm Sm
10 4 6
direct
0.026 0.974 0.750
0.107 0.362 0.721
0.222 0.778 0.750
0.272 0.728 0.250
0.362 0.107 0.221
0.638 0.893 0.779
0.728 0.272 0.750
0.778 0.222 0.250
0.893 0.638 0.279
0.974 0.026 0.250
0.230 0.488 0.455
0.488 0.230 0.955
0.512 0.770 0.045
0.770 0.512 0.545
0.032 0.280 0.048
0.280 0.032 0.548
0.481 0.519 0.250
0.519 0.481 0.750
0.720 0.968 0.452
0.968 0.720 0.952

No. 5
La2Tb4Sm PBE relaxed; ΔH_f (0 K) = 0.311 eV per atom; distance to the lowest polymorph of the same formula = 0.49 eV per formula unit; Fermi-level density of states = 12.55 states/eV/f.u.; calculated volume = 36.00 Å³ per atom; E = -61.8 eV for the cell shown
1.0
7.815 0.000 0.000
-0.001 7.859 0.000
-0.060 -0.005 8.206
La Tb Sm
4 8 2
direct
0.000 0.000 0.000
0.000 0.000 0.500
0.000 0.500 0.000
0.500 0.000 0.000
0.247 0.257 0.718
0.247 0.743 0.718
0.251 0.254 0.281
0.251 0.746 0.281
0.749 0.254 0.719
0.749 0.746 0.719
0.753 0.257 0.282
0.753 0.743 0.282
0.500 0.500 0.000
0.500 0.500 0.500

No. 6
MnNiOs PBE relaxed; ΔH_f (0 K) = 0.080 eV per atom; distance to the lowest polymorph of the same formula = 0.08 eV per formula unit; Fermi-level density of states = 2.25 states/eV/f.u.; calculated volume = 12.31 Å³ per atom; E = -25.9 eV for the cell shown
1.0
4.094 0.000 0.000
-2.047 3.545 0.000
0.000 0.000 2.545
Mn Ni Os
1 1 1
direct
0.000 0.000 0.000
0.667 0.333 0.995
0.333 0.667 0.496

No. 7
ZnCu2Sb PBE relaxed; distance to the lowest polymorph of the same formula = 0.79 eV per formula unit; Fermi-level density of states = 2.03 states/eV/f.u.; calculated volume = 17.66 Å³ per atom; E = -12.4 eV for the cell shown; energy relative to the elements, uncorrected = 6.62 kcal/mol of atoms
1.0
1.636 0.945 7.613
-1.636 0.945 7.613
0.000 -1.890 7.613
Zn Cu Sb
1 2 1
direct
0.000 0.000 0.000
0.479 0.479 0.479
0.741 0.741 0.741
0.232 0.232 0.232

No. 8
CaMoIr2 PBE relaxed; ΔH_f (0 K) = 0.039 eV per atom; distance to the lowest polymorph of the same formula = 0.82 eV per formula unit; Fermi-level density of states = 3.17 states/eV/f.u.; calculated volume = 17.57 Å³ per atom; E = -30.4 eV for the cell shown
1.0
-1.415 2.351 5.284
1.415 -2.351 5.284
1.415 2.351 -5.284
Ca Mo Ir
1 1 2
direct
0.000 0.000 0.000
0.294 0.794 0.500
0.507 0.507 0.000
0.725 0.225 0.500

No. 9
MnCdSb2 PBE relaxed; Fermi-level density of states = 2.15 states/eV/f.u.; calculated volume = 24.03 Å³ per atom; E = -17.8 eV for the cell shown; energy relative to the elements, uncorrected = 3.00 kcal/mol of atoms
1.0
3.017 0.000 0.000
0.000 3.706 0.000
-0.139 0.000 8.597
Mn Cd Sb
1 1 2
direct
0.000 0.000 0.000
0.500 0.000 0.500
0.491 0.500 0.810
0.509 0.500 0.190

No. 10
La3Pr3AlTl2 PBE relaxed; ΔH_f (0 K) = -0.266 eV per atom; Fermi-level density of states = 10.52 states/eV/f.u.; calculated volume = 32.08 Å³ per atom; E = -40.0 eV for the cell shown
1.0
9.260 0.000 0.000
-4.630 8.019 0.000
0.000 0.000 3.888
La Pr Al Tl
3 3 1 2
direct
0.000 0.383 0.000
0.383 0.000 0.000
0.617 0.617 0.000
0.000 0.723 0.500
0.277 0.277 0.500
0.723 0.000 0.500
0.000 0.000 0.000
0.333 0.667 0.500
0.667 0.333 0.500

No. 11
HgBiI4 PBE relaxed; Fermi-level density of states = 0.42 states/eV/f.u.; calculated volume = 53.45 Å³ per atom; E = -24.1 eV for the cell shown; energy relative to the elements, uncorrected = -6.45 kcal/mol of atoms
1.0
9.797 -2.983 0.000
9.797 2.983 0.000
-2.549 0.000 10.974
Hg Bi I
2 2 8
direct
0.121 0.121 0.218
0.879 0.879 0.782
0.193 0.193 0.796
0.807 0.807 0.204
0.062 0.062 0.878
0.137 0.137 0.540
0.284 0.284 0.123
0.367 0.367 0.771
0.633 0.633 0.229
0.716 0.716 0.877
0.863 0.863 0.460
0.938 0.938 0.122

No. 12
ZrAlSi2 PBE relaxed; Fermi-level density of states = 2.33 states/eV/f.u.; calculated volume = 17.50 Å³ per atom; E = -23.5 eV for the cell shown; energy relative to the elements, uncorrected = -1.86 kcal/mol of atoms
1.0
1.580 0.912 8.100
-1.580 0.912 8.100
0.000 -1.824 8.100
Zr Al Si
1 1 2
direct
0.000 0.000 0.000
0.500 0.500 0.500
0.244 0.244 0.244
0.756 0.756 0.756

No. 13
MgCrHg2 PBE relaxed; ΔH_f (0 K) = 0.248 eV per atom; Fermi-level density of states = 2.33 states/eV/f.u.; calculated volume = 19.99 Å³ per atom; E = -10.8 eV for the cell shown
1.0
0.000 3.419 3.419
3.419 0.000 3.419
3.419 3.419 0.000
Mg Cr Hg
1 1 2
direct
0.000 0.000 0.000
0.750 0.750 0.750
0.250 0.250 0.250
0.500 0.500 0.500

No. 14
AgSn2BiS4 PBE relaxed; Fermi-level density of states = 1.28 states/eV/f.u.; calculated volume = 23.68 Å³ per atom; E = -33.6 eV for the cell shown; energy relative to the elements, uncorrected = -6.66 kcal/mol of atoms
1.0
6.968 0.000 0.000
0.000 4.114 0.000
-2.300 0.000 6.607
Ag Sn Bi S
1 2 1 4
direct
0.000 0.000 0.000
0.500 0.000 0.500
0.500 0.500 0.000
0.000 0.500 0.500
0.241 0.000 0.754
0.243 0.500 0.245
0.757 0.500 0.755
0.759 0.000 0.246

No. 15
RbSiHgAs2 PBE relaxed; Fermi-level density of states = 2.26 states/eV/f.u.; calculated volume = 31.03 Å³ per atom; E = -33.7 eV for the cell shown; energy relative to the elements, uncorrected = -3.91 kcal/mol of atoms
1.0
3.114 -6.956 0.000
3.114 6.956 0.000
0.000 0.000 7.164
Rb Si Hg As
2 2 2 4
direct
0.250 0.750 0.763
0.750 0.250 0.237
0.250 0.250 0.000
0.750 0.750 0.000
0.000 0.000 0.500
0.500 0.500 0.500
0.096 0.904 0.183
0.404 0.596 0.183
0.596 0.404 0.817
0.904 0.096 0.817

No. 16
Hg6Pd8Au PBE relaxed; ΔH_f (0 K) = 0.032 eV per atom; Fermi-level density of states = 5.17 states/eV/f.u.; calculated volume = 19.73 Å³ per atom; E = -46.1 eV for the cell shown
1.0
10.766 0.000 0.000
-5.383 9.324 0.000
0.000 0.000 2.948
Hg Pd Au
6 8 1
direct
0.108 0.653 0.371
0.347 0.455 0.371
0.455 0.108 0.629
0.545 0.892 0.371
0.653 0.545 0.629
0.892 0.347 0.629
0.062 0.266 0.159
0.204 0.938 0.159
0.266 0.204 0.841
0.333 0.667 0.874
0.667 0.333 0.126
0.734 0.796 0.159
0.796 0.062 0.841
0.938 0.734 0.841
0.000 0.000 0.500

No. 17
LiTb6Cd PBE relaxed; ΔH_f (0 K) = 0.075 eV per atom; Fermi-level density of states = 8.20 states/eV/f.u.; calculated volume = 29.15 Å³ per atom; E = -30.0 eV for the cell shown
1.0
6.157 0.000 0.000
-0.327 6.156 0.000
-0.312 -0.313 6.152
Li Tb Cd
1 6 1
direct
0.000 0.000 0.000
0.028 0.751 0.538
0.249 0.462 0.970
0.463 0.970 0.249
0.537 0.030 0.751
0.751 0.538 0.030
0.972 0.249 0.462
0.500 0.500 0.500

No. 18
MgW2Cl PBE relaxed; distance to the lowest polymorph of the same formula = 2.43 eV per formula unit; Fermi-level density of states = 3.07 states/eV/f.u.; calculated volume = 19.23 Å³ per atom; E = -52.7 eV for the cell shown; energy relative to the elements, uncorrected = 17.35 kcal/mol of atoms
1.0
-1.842 1.842 11.337
1.842 -1.842 11.337
1.842 1.842 -11.337
Mg W Cl
2 4 2
direct
0.000 0.000 0.000
0.750 0.250 0.500
0.105 0.125 0.480
0.375 0.895 0.020
0.645 0.625 0.520
0.875 0.355 0.980
0.250 0.750 0.500
0.500 0.500 0.000

No. 19
Na3Zr3CuS8 PBE relaxed; Fermi-level density of states = 6.46 states/eV/f.u.; calculated volume = 21.54 Å³ per atom; E = -85.8 eV for the cell shown; energy relative to the elements, uncorrected = -29.30 kcal/mol of atoms
1.0
6.441 -3.723 0.000
6.441 3.723 0.000
-4.293 0.000 6.738
Na Zr Cu S
3 3 1 8
direct
0.000 0.000 0.000
0.000 0.500 0.000
0.500 0.000 0.000
0.000 0.500 0.500
0.500 0.000 0.500
0.500 0.500 0.500
0.000 0.000 0.500
0.237 0.237 0.710
0.238 0.734 0.711
0.259 0.259 0.276
0.266 0.762 0.289
0.734 0.238 0.711
0.741 0.741 0.724
0.762 0.266 0.289
0.763 0.763 0.290

No. 20
CeUZnOs PBE relaxed; ΔH_f (0 K) = -0.052 eV per atom; Fermi-level density of states = 9.92 states/eV/f.u.; calculated volume = 18.87 Å³ per atom; E = -29.9 eV for the cell shown
1.0
0.000 3.354 3.354
3.354 0.000 3.354
3.354 3.354 0.000
Ce U Zn Os
1 1 1 1
direct
0.000 0.000 0.000
0.250 0.250 0.250
0.750 0.750 0.750
0.500 0.500 0.500